Here is crystalline Tb2Al3Zn4Hg at its relaxed geometry from the Alexandria database. Energies are from PBE.

formation energy from the elements	-0.32	eV/atom
total magnetic moment	0.000	μB per atom
SG	No. 115
DFT total energy	-29.1	eV/cell

a b c (Å): 4.230 4.230 10.834
angles (deg): 90.00 90.00 90.00
Positions (direct):
Tb: 0.000 0.500 0.239
Tb: 0.500 0.000 0.761
Al: 0.000 0.500 0.870
Al: 0.500 0.000 0.130
Al: 0.500 0.500 0.500
Zn: 0.000 0.000 0.000
Zn: 0.000 0.500 0.647
Zn: 0.500 0.000 0.353
Zn: 0.500 0.500 0.000
Hg: 0.000 0.000 0.500